Entry 1:
Density functional theory data (PBE) for an optimized crystal structure of Pm4Be3SnPd12.

extended XYZ file:
```
20
Lattice="-0.4223 4.2862 6.5938 -3.6769 -6.8774 1.0994 7.5543 -1.3192 -1.7943" Properties=species:S:1:pos:R:3 pbc="T T T"
Pm 1.7276 -1.9553 2.9495
Pm 3.7771 -0.6596 -0.8971
Pm -0.2112 2.1431 3.2969
Pm -1.8384 -3.4387 0.5497
Be 3.5660 1.4835 2.3997
Be -2.0496 -1.2956 3.8466
Be 1.9387 -4.0983 -0.3474
Sn 0.0000 0.0000 0.0000
Pd 3.7217 -3.3566 0.8525
Pd 5.1681 2.1500 3.4779
Pd 1.9639 0.8170 1.3216
Pd -0.2666 -0.5539 5.0465
Pd -2.9704 -1.8777 5.5748
Pd -1.1287 -0.7135 2.1184
Pd 2.5412 0.8356 4.3230
Pd 0.9139 -4.7462 1.5759
Pd 4.5353 -0.5657 2.2260
Pd 2.8098 -5.9396 -0.5035
Pd -1.0802 -3.3448 3.6729
Pd 1.0677 -2.2570 -0.1913
```

Fermi-level density of states, states/eV/f.u.: 13.054
Formation energy, eV per atom: -0.539
Space-group type: No. 229
Calculated volume, A^3/atom: 18.80
E, eV per atom: -5.36

Entry 2:
Density functional theory data (PBE) for an optimized crystal structure of Pm2BeSnPd6.

extended XYZ file:
```
10
Lattice="-4.8676 2.7944 -1.4093 -2.4239 -0.5568 6.9997 -1.1856 5.1545 2.3882" Properties=species:S:1:pos:R:3 pbc="T T T"
Pm -4.4396 4.6309 1.8559
Pm -4.0375 2.7612 6.1227
Be -3.6458 1.1188 2.7952
Sn 0.0000 0.0000 0.0000
Pd -2.3594 2.8271 3.3536
Pd -5.5360 2.0545 3.4527
Pd -4.7038 5.4061 7.1363
Pd -3.7734 1.9861 0.8423
Pd -2.9412 5.3377 4.5259
Pd -6.1178 4.5650 4.6250
```

Fermi-level density of states, states/eV/f.u.: 4.077
Formation energy, eV per atom: -0.642
Space-group type: No. 2
Calculated volume, A^3/atom: 19.36
E, eV per atom: -5.48

Entry 3:
Density functional theory data (PBE) for an optimized crystal structure of Pm2TiBePd6.

extended XYZ file:
```
10
Lattice="6.1939 0.2169 -0.4945 0.2548 6.7164 -0.9264 2.8409 2.8355 4.0091" Properties=species:S:1:pos:R:3 pbc="T T T"
Pm 6.0871 3.0162 1.6115
Pm 3.2024 6.7525 0.9767
Ti 0.0000 0.0000 0.0000
Be 3.2243 3.4666 -0.7104
Pd 3.1245 3.1884 1.5286
Pd 4.7303 5.1383 -0.9806
Pd 1.3169 4.5488 -0.1381
Pd 7.9725 5.2199 2.7265
Pd 4.5592 4.6305 3.5689
Pd 6.1650 6.5803 1.0597
```

Fermi-level density of states, states/eV/f.u.: 5.680
Formation energy, eV per atom: -0.554
Space-group type: No. 2
Calculated volume, A^3/atom: 19.13
E, eV per atom: -5.78

Entry 4:
Density functional theory data (PBE) for an optimized crystal structure of Pm2BeTlPd6.

extended XYZ file:
```
10
Lattice="5.9117 0.0408 -0.0237 -0.0602 7.7248 -1.2171 2.9516 2.9562 4.1845" Properties=species:S:1:pos:R:3 pbc="T T T"
Pm 5.8907 3.7211 1.5778
Pm 2.9124 7.0006 1.3659
Be 2.9257 3.8828 -0.6204
Tl 0.0000 0.0000 0.0000
Pd 2.9335 3.8739 1.5564
Pd 4.4563 5.4316 -0.6164
Pd 1.3740 5.4105 -0.6033
Pd 7.4291 5.3112 3.5471
Pd 4.3468 5.2901 3.5602
Pd 5.8696 6.8478 1.3873
```

Fermi-level density of states, states/eV/f.u.: 3.526
Formation energy, eV per atom: -0.544
Space-group type: No. 12
Calculated volume, A^3/atom: 21.28
E, eV per atom: -5.22

Entry 5:
Density functional theory data (PBE) for an optimized crystal structure of PmTmBePd.

extended XYZ file:
```
4
Lattice="-1.9155 3.9793 -2.2383 -1.9592 -0.4101 -4.5284 -4.8978 0.3729 -0.6214" Properties=species:S:1:pos:R:3 pbc="T T T"
Be -4.3863 1.9710 -3.6940
Tm -6.5794 2.9565 -5.5411
Pd 0.0000 0.0000 0.0000
Pm -2.1931 0.9855 -1.8470
```

Fermi-level density of states, states/eV/f.u.: 2.777
Formation energy, eV per atom: -0.317
Space-group type: No. 216
Calculated volume, A^3/atom: 21.46
E, eV per atom: -4.85

Entry 6:
Density functional theory data (PBE) for an optimized crystal structure of PmYBePd.

extended XYZ file:
```
4
Lattice="4.9927 0.0000 0.0000 2.4964 4.3238 0.0000 2.4964 1.4413 4.0765" Properties=species:S:1:pos:R:3 pbc="T T T"
Y 7.4891 4.3238 3.0574
Be 0.0000 0.0000 0.0000
Pd 4.9927 2.8825 2.0383
Pm 2.4964 1.4413 1.0191
```

Fermi-level density of states, states/eV/f.u.: 2.674
Formation energy, eV per atom: -0.300
Space-group type: No. 216
Calculated volume, A^3/atom: 22.00
E, eV per atom: -5.33

Entry 7:
Density functional theory data (PBE) for an optimized crystal structure of Pm3Be2ZnPd9.

extended XYZ file:
```
15
Lattice="6.6800 0.0000 0.0000 -3.3400 5.7851 0.0000 0.0000 0.0000 7.0672" Properties=species:S:1:pos:R:3 pbc="T T T"
Pm 0.0000 3.8567 4.7409
Pm 0.0000 0.0000 0.0000
Pm 3.3400 1.9283 2.3263
Be 0.0000 3.8567 0.9967
Be 3.3400 1.9283 6.0704
Zn 0.0000 0.0000 3.5336
Pd 4.8416 1.0614 4.7418
Pd 3.3400 3.6622 4.7418
Pd 1.8384 1.0614 4.7418
Pd 1.5016 4.7236 2.3253
Pd 0.0000 2.1228 2.3253
Pd -1.5016 4.7236 2.3253
Pd 3.3400 0.0000 0.0000
Pd -1.6700 2.8925 0.0000
Pd 1.6700 2.8925 0.0000
```

Fermi-level density of states, states/eV/f.u.: 5.745
Formation energy, eV per atom: -0.601
Space-group type: No. 164
Calculated volume, A^3/atom: 18.21
E, eV per atom: -5.25

Entry 8:
Density functional theory data (PBE) for an optimized crystal structure of PmBe2ZnPd5.

extended XYZ file:
```
9
Lattice="4.4333 0.0000 0.0000 0.0000 4.4333 0.0000 0.0000 0.0000 7.0536" Properties=species:S:1:pos:R:3 pbc="T T T"
Pm 0.0000 0.0000 3.5268
Be 2.2166 2.2166 1.1408
Be 2.2166 2.2166 5.9127
Zn 0.0000 0.0000 0.0000
Pd 0.0000 2.2166 1.4764
Pd 2.2166 0.0000 1.4764
Pd 0.0000 2.2166 5.5772
Pd 2.2166 0.0000 5.5772
Pd 2.2166 2.2166 3.5268
```

Fermi-level density of states, states/eV/f.u.: 2.962
Formation energy, eV per atom: -0.530
Space-group type: No. 123
Calculated volume, A^3/atom: 15.40
E, eV per atom: -4.91

Entry 9:
Density functional theory data (PBE) for an optimized crystal structure of PrBePd3.

extended XYZ file:
```
5
Lattice="-4.1563 1.3058 -0.8960 -1.2428 -4.2492 -0.4272 -0.9814 -0.1488 4.3356" Properties=species:S:1:pos:R:3 pbc="T T T"
Pr -3.1903 -1.5461 1.5062
Be 0.0000 0.0000 0.0000
Pd -0.6214 -2.1246 -0.2136
Pd -0.4907 -0.0744 2.1678
Pd -2.0782 0.6529 -0.4480
```

Fermi-level density of states, states/eV/f.u.: 3.870
Formation energy, eV per atom: -0.633
Space-group type: No. 221
Calculated volume, A^3/atom: 17.60
E, eV per atom: -5.45

Entry 10:
Density functional theory data (PBE) for an optimized crystal structure of PrBe4Pd12.

extended XYZ file:
```
17
Lattice="6.9907 0.0000 0.0000 -2.3302 6.5909 0.0000 -2.3302 -3.2955 5.7079" Properties=species:S:1:pos:R:3 pbc="T T T"
Pr 0.0000 0.0000 0.0000
Be -1.1651 3.2955 0.0000
Be 3.4954 0.0000 0.0000
Be 1.1651 1.6477 2.8540
Be -1.1651 -1.6477 2.8540
Pd 4.6523 1.6535 0.9155
Pd 0.7475 2.7445 0.9742
Pd 3.9130 -1.0795 3.8182
Pd 0.0082 -1.6759 4.7337
Pd -1.5828 4.3749 1.8897
Pd 1.5828 0.5509 4.7337
Pd 2.3384 0.0339 1.8897
Pd -0.0082 3.2615 3.8182
Pd 2.3221 4.9714 0.9742
Pd 3.0777 2.7669 2.8440
Pd -0.7475 0.5285 2.8640
Pd -2.3221 1.6420 4.7924
```

Fermi-level density of states, states/eV/f.u.: 6.051
Formation energy, eV per atom: -0.270
Space-group type: No. 204
Calculated volume, A^3/atom: 15.47
E, eV per atom: -5.09

Entry 11:
Density functional theory data (PBE) for an optimized crystal structure of Pr2BePd3.

extended XYZ file:
```
6
Lattice="-0.0384 2.5074 3.0954 -3.9811 0.9420 -0.8125 -2.3010 -5.7392 4.6204" Properties=species:S:1:pos:R:3 pbc="T T T"
Pr -4.2872 -5.2572 4.2053
Pr -1.1623 -2.8990 2.3339
Be -2.7690 -0.1689 2.6659
Pd -1.9686 -3.6086 5.4621
Pd -0.4754 0.1159 2.4636
Pd -3.4396 -1.8417 4.0126
```

Fermi-level density of states, states/eV/f.u.: 3.819
Formation energy, eV per atom: -0.639
Space-group type: No. 25
Calculated volume, A^3/atom: 21.38
E, eV per atom: -5.45

Entry 12:
Density functional theory data (PBE) for an optimized crystal structure of PrBePd2.

extended XYZ file:
```
8
Lattice="-2.2789 3.1562 1.0146 -3.4351 -2.1052 -1.1668 0.9174 -2.1263 8.6749" Properties=species:S:1:pos:R:3 pbc="T T T"
Pr -2.2861 -3.3114 5.1660
Pr -0.2316 -0.9201 2.3420
Be -2.9651 0.0961 1.0168
Be -1.8315 -1.1715 7.5059
Pd -1.7176 -1.0526 -0.5834
Pd -1.1394 1.5781 0.5073
Pd -3.1751 -0.7384 3.1410
Pd -1.6215 -0.3370 5.3817
```

Fermi-level density of states, states/eV/f.u.: 1.588
Formation energy, eV per atom: -0.678
Space-group type: No. 65
Calculated volume, A^3/atom: 18.41
E, eV per atom: -5.40

Entry 13:
Density functional theory data (PBE) for an optimized crystal structure of Pr2BePd5.

extended XYZ file:
```
8
Lattice="5.2538 -0.0002 -2.8855 -1.5846 5.0091 -2.8855 -0.0886 -0.1210 6.0644" Properties=species:S:1:pos:R:3 pbc="T T T"
Pr 0.0898 3.7088 0.1633
Pr 3.5090 1.2042 0.1634
Be 0.0673 0.0919 0.1225
Pd 3.4558 1.3279 -2.8759
Pd 0.9728 1.3280 -1.5122
Pd 2.7069 3.6953 -4.2397
Pd 0.2239 3.6954 -2.8760
Pd 2.6953 3.6795 -1.3184
```

Fermi-level density of states, states/eV/f.u.: 3.831
Formation energy, eV per atom: -0.690
Space-group type: No. 107
Calculated volume, A^3/atom: 19.49
E, eV per atom: -5.60

Entry 14:
Density functional theory data (PBE) for an optimized crystal structure of PrBePd3.

extended XYZ file:
```
10
Lattice="-3.3777 1.4975 -4.2199 2.1078 -4.5188 -3.2907 -4.7590 -0.8303 3.5145" Properties=species:S:1:pos:R:3 pbc="T T T"
Pr -2.7144 -2.1665 -4.1872
Pr -3.3147 -1.6852 0.1913
Be 0.0000 0.0000 0.0000
Be -1.6888 0.7487 -2.1100
Pd -5.0899 -2.5089 -2.4075
Pd -2.2062 -3.8993 -1.4815
Pd -0.9390 -1.3428 -1.5885
Pd -3.8227 0.0476 -2.5146
Pd 0.0685 -3.5025 -3.1613
Pd -6.0974 -0.3492 -0.8347
```

Fermi-level density of states, states/eV/f.u.: 2.290
Formation energy, eV per atom: -0.704
Space-group type: No. 194
Calculated volume, A^3/atom: 17.34
E, eV per atom: -5.52

Entry 15:
Density functional theory data (PBE) for an optimized crystal structure of PrBePd2.

extended XYZ file:
```
4
Lattice="4.1460 0.0000 0.0000 2.0730 3.5905 0.0000 2.0730 1.1968 5.0889" Properties=species:S:1:pos:R:3 pbc="T T T"
Pr 4.1460 2.3937 2.5445
Be 0.0000 0.0000 0.0000
Pd 2.0730 1.1968 0.6443
Pd 6.2190 3.5905 4.4446
```

Fermi-level density of states, states/eV/f.u.: 1.927
Formation energy, eV per atom: -0.600
Space-group type: No. 166
Calculated volume, A^3/atom: 18.94
E, eV per atom: -5.32

Entry 16:
Density functional theory data (PBE) for an optimized crystal structure of PrBe4Pd8.

extended XYZ file:
```
13
Lattice="-3.5052 -0.7230 3.6611 0.8122 -5.6366 3.2444 1.8200 2.4405 5.8042" Properties=species:S:1:pos:R:3 pbc="T T T"
Pr 0.0000 0.0000 0.0000
Be 0.9100 1.2203 2.9021
Be -0.8426 0.8588 4.7327
Be 0.4061 -2.8183 1.6222
Be -1.3465 -3.1798 3.4528
Pd 1.4802 -0.2827 4.9412
Pd 1.1520 -2.9134 4.1075
Pd 0.5630 -2.3623 7.2322
Pd -1.4359 -1.5568 5.4775
Pd -0.7128 -4.1741 5.6530
Pd -0.1602 0.2550 7.0567
Pd -0.3666 -0.9200 3.0472
Pd -0.5064 -2.9991 9.6626
```

Fermi-level density of states, states/eV/f.u.: 5.677
Formation energy, eV per atom: -0.503
Space-group type: No. 139
Calculated volume, A^3/atom: 14.34
E, eV per atom: -5.21

Entry 17:
Density functional theory data (PBE) for an optimized crystal structure of Pr2Be6Pd9.

extended XYZ file:
```
17
Lattice="5.6498 0.0000 0.0000 -2.8249 4.8928 0.0000 0.0000 0.0000 9.8491" Properties=species:S:1:pos:R:3 pbc="T T T"
Pr 0.0000 0.0000 6.8887
Pr 0.0000 0.0000 2.9604
Be 0.0000 3.2619 0.0000
Be 2.8249 1.6309 0.0000
Be 0.0000 3.2619 6.5699
Be 2.8249 1.6309 6.5699
Be 2.8249 1.6309 3.2792
Be 0.0000 3.2619 3.2792
Pd 2.8249 0.0000 8.2545
Pd -1.4124 2.4464 8.2545
Pd 1.4124 2.4464 8.2545
Pd 2.8249 0.0000 1.5945
Pd -1.4124 2.4464 1.5945
Pd 1.4124 2.4464 1.5945
Pd 2.8249 0.0000 4.9245
Pd -1.4124 2.4464 4.9245
Pd 1.4124 2.4464 4.9245
```

Fermi-level density of states, states/eV/f.u.: 3.398
Formation energy, eV per atom: -0.568
Space-group type: No. 191
Calculated volume, A^3/atom: 16.02
E, eV per atom: -5.19

Entry 18:
Density functional theory data (PBE) for an optimized crystal structure of PrBe2Pd3.

extended XYZ file:
```
18
Lattice="-2.2684 2.4862 -1.7771 -6.3728 -6.7106 -1.2535 -0.2363 5.2853 7.6958" Properties=species:S:1:pos:R:3 pbc="T T T"
Pr -1.1342 1.2431 -0.8885
Pr -4.3273 -2.7120 1.7296
Pr -2.2818 1.2867 4.7127
Be -6.3964 -3.2965 -0.5224
Be -3.4837 -0.2294 0.0505
Be -6.5044 -0.8808 2.9950
Be -2.4811 4.3573 5.1876
Be -5.3938 1.2902 4.6147
Be -2.3731 1.9417 1.6702
Pd -4.4388 0.5304 2.3326
Pd -1.2524 3.8857 2.9594
Pd -4.3206 -2.1122 -1.5153
Pd -4.6838 -1.0101 4.5656
Pd -0.0688 1.5396 2.2418
Pd -1.8564 -1.9548 -0.3651
Pd -1.9253 -0.4152 1.8767
Pd -0.1675 3.7456 5.4540
Pd -4.5163 -4.7558 -0.8883
```

Fermi-level density of states, states/eV/f.u.: 2.736
Formation energy, eV per atom: -0.544
Space-group type: No. 191
Calculated volume, A^3/atom: 15.97
E, eV per atom: -5.18

Entry 19:
Density functional theory data (PBE) for an optimized crystal structure of PrBe2Pd5.

extended XYZ file:
```
8
Lattice="-2.2201 -3.2585 -0.1465 2.9895 -4.2728 -3.3984 2.9377 -4.5296 3.0977" Properties=species:S:1:pos:R:3 pbc="T T T"
Pr 0.0000 0.0000 0.0000
Be 2.5737 -8.9050 -0.3315
Be 1.1335 -3.1559 -0.1157
Pd 2.9636 -4.4012 -0.1503
Pd 0.6348 -5.1406 -1.5479
Pd 3.0723 -6.9203 1.1007
Pd 3.0938 -6.8138 -1.5944
Pd 0.6133 -5.2471 1.1472
```

Fermi-level density of states, states/eV/f.u.: 1.120
Formation energy, eV per atom: -0.622
Space-group type: No. 71
Calculated volume, A^3/atom: 15.80
E, eV per atom: -5.40

Entry 20:
Density functional theory data (PBE) for an optimized crystal structure of PrBe2Pd2.

extended XYZ file:
```
10
Lattice="4.0959 0.0000 0.0000 0.0000 4.0959 0.0000 0.0000 0.0000 9.7496" Properties=species:S:1:pos:R:3 pbc="T T T"
Pr 2.0479 0.0000 2.4655
Pr 0.0000 2.0479 7.2842
Be 2.0479 2.0479 4.8748
Be 0.0000 0.0000 4.8748
Be 0.0000 2.0479 1.1908
Be 2.0479 0.0000 8.5588
Pd 0.0000 2.0479 3.7160
Pd 2.0479 0.0000 6.0336
Pd 2.0479 2.0479 0.0000
Pd 0.0000 0.0000 0.0000
```

Fermi-level density of states, states/eV/f.u.: 4.352
Formation energy, eV per atom: -0.531
Space-group type: No. 129
Calculated volume, A^3/atom: 16.36
E, eV per atom: -5.05

Entry 21:
Density functional theory data (PBE) for an optimized crystal structure of PrBe2Pd2Pt.

extended XYZ file:
```
6
Lattice="4.2678 0.0000 0.0000 0.0000 4.2678 0.0000 0.0000 0.0000 5.6802" Properties=species:S:1:pos:R:3 pbc="T T T"
Pr 0.0000 0.0000 2.8401
Be 2.1339 0.0000 0.0000
Be 0.0000 2.1339 0.0000
Pd 2.1339 2.1339 4.2888
Pd 2.1339 2.1339 1.3914
Pt 0.0000 0.0000 0.0000
```

Fermi-level density of states, states/eV/f.u.: 1.559
Formation energy, eV per atom: -0.554
Space-group type: No. 123
Calculated volume, A^3/atom: 17.24
E, eV per atom: -5.33

Entry 22:
Density functional theory data (PBE) for an optimized crystal structure of PrBe4PdPt2.

extended XYZ file:
```
8
Lattice="3.9481 0.0000 0.0000 1.9741 3.4192 0.0000 1.9741 1.1397 8.4894" Properties=species:S:1:pos:R:3 pbc="T T T"
Pr 0.0000 0.0000 0.0000
Be 3.9481 2.2795 6.5209
Be 5.9222 3.4192 3.3275
Be 1.9741 1.1397 5.1619
Be 3.9481 2.2795 1.9685
Pd 3.9481 2.2795 4.2447
Pt 5.9222 3.4192 5.9819
Pt 1.9741 1.1397 2.5075
```

Fermi-level density of states, states/eV/f.u.: 3.233
Formation energy, eV per atom: -0.632
Space-group type: No. 166
Calculated volume, A^3/atom: 14.33
E, eV per atom: -5.25